Material: ReNiO2F
Method: DFT, GGA+U
State: optimized geometry

Lattice parameters (Å, degrees): 3.801 3.801 4.453 90.00 90.00 90.00
Fractional coordinates of all 5 atoms:
Re  0.000  0.000  0.000
Ni  0.500  0.500  0.500
O  0.000  0.500  0.000
O  0.500  0.000  0.000
F  0.000  0.000  0.500

Calculated values
final energy: -6.153 eV per atom
size of the total moment: 1.0 μB/f.u.